{
  "formula": "MgNi2Sn",
  "functional": "PBE",
  "state": "relaxed",
  "lattice_angstrom": [[4.494, 0.000, 0.000], [-2.247, 3.892, 0.000], [0.000, 0.000, 7.440]],
  "species": ["Mg", "Mg", "Ni", "Ni", "Ni", "Ni", "Sn", "Sn"],
  "fractional_positions": [[0.333, 0.667, 0.250], [0.667, 0.333, 0.750], [0.333, 0.667, 0.590], [0.333, 0.667, 0.910], [0.667, 0.333, 0.090], [0.667, 0.333, 0.410], [0.000, 0.000, 0.250], [0.000, 0.000, 0.750]],
  "total_energy_ev_per_cell": -31.68,
  "m_tot_mub_per_cell": 0.01
}

***

{
  "formula": "MgNi2Sn",
  "functional": "PBE",
  "state": "relaxed",
  "lattice_angstrom": [[4.354, 0.000, 0.000], [0.000, 4.354, 0.000], [0.000, 0.000, 6.182]],
  "species": ["Mg", "Mg", "Ni", "Ni", "Ni", "Ni", "Sn", "Sn"],
  "fractional_positions": [[0.000, 0.000, 0.000], [0.500, 0.500, 0.500], [0.000, 0.500, 0.250], [0.000, 0.500, 0.750], [0.500, 0.000, 0.250], [0.500, 0.000, 0.750], [0.000, 0.000, 0.500], [0.500, 0.500, 0.000]],
  "total_energy_ev_per_cell": -35.76,
  "m_tot_mub_per_cell": 0.00
}

***

{
  "formula": "MgNi2Sn",
  "functional": "PBE",
  "state": "relaxed",
  "lattice_angstrom": [[4.248, 0.000, 0.000], [0.000, 4.248, 0.000], [0.000, 0.000, 3.256]],
  "species": ["Mg", "Ni", "Ni", "Sn"],
  "fractional_positions": [[0.000, 0.000, 0.000], [0.000, 0.500, 0.500], [0.500, 0.000, 0.500], [0.500, 0.500, 0.000]],
  "total_energy_ev_per_cell": -17.69,
  "m_tot_mub_per_cell": 0.01
}

***

{
  "formula": "MgTaNiSn",
  "functional": "PBE",
  "state": "relaxed",
  "lattice_angstrom": [[6.501, 0.000, 0.000], [0.000, 6.501, 0.000], [0.000, 0.000, 6.501]],
  "species": ["Mg", "Mg", "Mg", "Mg", "Ta", "Ta", "Ta", "Ta", "Ni", "Ni", "Ni", "Ni", "Sn", "Sn", "Sn", "Sn"],
  "fractional_positions": [[0.000, 0.000, 0.000], [0.000, 0.500, 0.500], [0.500, 0.000, 0.500], [0.500, 0.500, 0.000], [0.250, 0.250, 0.750], [0.250, 0.750, 0.250], [0.750, 0.250, 0.250], [0.750, 0.750, 0.750], [0.000, 0.000, 0.500], [0.000, 0.500, 0.000], [0.500, 0.000, 0.000], [0.500, 0.500, 0.500], [0.250, 0.250, 0.250], [0.250, 0.750, 0.750], [0.750, 0.250, 0.750], [0.750, 0.750, 0.250]],
  "total_energy_ev_per_cell": -85.92,
  "m_tot_mub_per_cell": 4.07
}

***

{
  "formula": "MgTaNiSn",
  "functional": "PBE",
  "state": "relaxed",
  "lattice_angstrom": [[6.531, 0.000, 0.000], [0.000, 6.531, 0.000], [0.000, 0.000, 6.531]],
  "species": ["Mg", "Mg", "Mg", "Mg", "Ta", "Ta", "Ta", "Ta", "Ni", "Ni", "Ni", "Ni", "Sn", "Sn", "Sn", "Sn"],
  "fractional_positions": [[0.000, 0.000, 0.000], [0.000, 0.500, 0.500], [0.500, 0.000, 0.500], [0.500, 0.500, 0.000], [0.250, 0.250, 0.250], [0.250, 0.750, 0.750], [0.750, 0.250, 0.750], [0.750, 0.750, 0.250], [0.250, 0.250, 0.750], [0.250, 0.750, 0.250], [0.750, 0.250, 0.250], [0.750, 0.750, 0.750], [0.000, 0.000, 0.500], [0.000, 0.500, 0.000], [0.500, 0.000, 0.000], [0.500, 0.500, 0.500]],
  "total_energy_ev_per_cell": -86.77,
  "m_tot_mub_per_cell": 3.97
}

***

{
  "formula": "MgTcNiSn",
  "functional": "PBE",
  "state": "relaxed",
  "lattice_angstrom": [[6.299, 0.000, 0.000], [0.000, 6.299, 0.000], [0.000, 0.000, 6.299]],
  "species": ["Mg", "Mg", "Mg", "Mg", "Tc", "Tc", "Tc", "Tc", "Ni", "Ni", "Ni", "Ni", "Sn", "Sn", "Sn", "Sn"],
  "fractional_positions": [[0.000, 0.000, 0.000], [0.000, 0.500, 0.500], [0.500, 0.000, 0.500], [0.500, 0.500, 0.000], [0.250, 0.250, 0.250], [0.250, 0.750, 0.750], [0.750, 0.250, 0.750], [0.750, 0.750, 0.250], [0.250, 0.250, 0.750], [0.250, 0.750, 0.250], [0.750, 0.250, 0.250], [0.750, 0.750, 0.750], [0.000, 0.000, 0.500], [0.000, 0.500, 0.000], [0.500, 0.000, 0.000], [0.500, 0.500, 0.500]],
  "total_energy_ev_per_cell": -86.20,
  "m_tot_mub_per_cell": 0.01
}

***

{
  "formula": "TmMgNi4Sn2",
  "functional": "PBE",
  "state": "relaxed",
  "lattice_angstrom": [[4.307, 0.000, 0.000], [-2.154, 3.730, 0.000], [0.000, 0.000, 8.234]],
  "species": ["Tm", "Mg", "Ni", "Ni", "Ni", "Ni", "Sn", "Sn"],
  "fractional_positions": [[0.000, 0.000, 0.000], [0.667, 0.333, 0.500], [0.000, 0.000, 0.344], [0.000, 0.000, 0.656], [0.667, 0.333, 0.170], [0.667, 0.333, 0.830], [0.333, 0.667, 0.264], [0.333, 0.667, 0.736]],
  "total_energy_ev_per_cell": -39.50,
  "m_tot_mub_per_cell": 0.01
}

***

{
  "formula": "TmMgNi4Sn2",
  "functional": "PBE",
  "state": "relaxed",
  "lattice_angstrom": [[4.424, 0.000, 0.000], [-2.212, 3.831, 0.000], [0.000, 0.000, 7.637]],
  "species": ["Tm", "Mg", "Ni", "Ni", "Ni", "Ni", "Sn", "Sn"],
  "fractional_positions": [[0.000, 0.000, 0.000], [0.000, 0.000, 0.500], [0.333, 0.667, 0.093], [0.333, 0.667, 0.409], [0.667, 0.333, 0.591], [0.667, 0.333, 0.907], [0.333, 0.667, 0.743], [0.667, 0.333, 0.257]],
  "total_energy_ev_per_cell": -39.39,
  "m_tot_mub_per_cell": 0.00
}

***

{
  "formula": "YMgNiSn",
  "functional": "PBE",
  "state": "relaxed",
  "lattice_angstrom": [[6.790, 0.000, 0.000], [0.000, 6.790, 0.000], [0.000, 0.000, 6.790]],
  "species": ["Y", "Y", "Y", "Y", "Mg", "Mg", "Mg", "Mg", "Ni", "Ni", "Ni", "Ni", "Sn", "Sn", "Sn", "Sn"],
  "fractional_positions": [[0.000, 0.000, 0.000], [0.000, 0.500, 0.500], [0.500, 0.000, 0.500], [0.500, 0.500, 0.000], [0.250, 0.250, 0.250], [0.250, 0.750, 0.750], [0.750, 0.250, 0.750], [0.750, 0.750, 0.250], [0.250, 0.250, 0.750], [0.250, 0.750, 0.250], [0.750, 0.250, 0.250], [0.750, 0.750, 0.750], [0.000, 0.000, 0.500], [0.000, 0.500, 0.000], [0.500, 0.000, 0.000], [0.500, 0.500, 0.500]],
  "total_energy_ev_per_cell": -75.01,
  "m_tot_mub_per_cell": 0.07
}

***

{
  "formula": "MgZrNiSn",
  "functional": "PBE",
  "state": "relaxed",
  "lattice_angstrom": [[6.612, 0.000, 0.000], [0.000, 6.612, 0.000], [0.000, 0.000, 6.612]],
  "species": ["Mg", "Mg", "Mg", "Mg", "Zr", "Zr", "Zr", "Zr", "Ni", "Ni", "Ni", "Ni", "Sn", "Sn", "Sn", "Sn"],
  "fractional_positions": [[0.000, 0.000, 0.000], [0.000, 0.500, 0.500], [0.500, 0.000, 0.500], [0.500, 0.500, 0.000], [0.250, 0.250, 0.750], [0.250, 0.750, 0.250], [0.750, 0.250, 0.250], [0.750, 0.750, 0.750], [0.000, 0.000, 0.500], [0.000, 0.500, 0.000], [0.500, 0.000, 0.000], [0.500, 0.500, 0.500], [0.250, 0.250, 0.250], [0.250, 0.750, 0.750], [0.750, 0.250, 0.750], [0.750, 0.750, 0.250]],
  "total_energy_ev_per_cell": -80.15,
  "m_tot_mub_per_cell": 0.03
}

***

{
  "formula": "SrMgZrNi",
  "functional": "PBE",
  "state": "relaxed",
  "lattice_angstrom": [[6.936, 0.000, 0.000], [0.000, 6.936, 0.000], [0.000, 0.000, 6.936]],
  "species": ["Sr", "Sr", "Sr", "Sr", "Mg", "Mg", "Mg", "Mg", "Zr", "Zr", "Zr", "Zr", "Ni", "Ni", "Ni", "Ni"],
  "fractional_positions": [[0.000, 0.000, 0.000], [0.000, 0.500, 0.500], [0.500, 0.000, 0.500], [0.500, 0.500, 0.000], [0.250, 0.250, 0.750], [0.250, 0.750, 0.250], [0.750, 0.250, 0.250], [0.750, 0.750, 0.750], [0.250, 0.250, 0.250], [0.250, 0.750, 0.750], [0.750, 0.250, 0.750], [0.750, 0.750, 0.250], [0.000, 0.000, 0.500], [0.000, 0.500, 0.000], [0.500, 0.000, 0.000], [0.500, 0.500, 0.500]],
  "total_energy_ev_per_cell": -63.25,
  "m_tot_mub_per_cell": 0.01
}

***

{
  "formula": "SrMgZrNi",
  "functional": "PBE",
  "state": "relaxed",
  "lattice_angstrom": [[7.220, 0.000, 0.000], [0.000, 7.220, 0.000], [0.000, 0.000, 7.220]],
  "species": ["Sr", "Sr", "Sr", "Sr", "Mg", "Mg", "Mg", "Mg", "Zr", "Zr", "Zr", "Zr", "Ni", "Ni", "Ni", "Ni"],
  "fractional_positions": [[0.000, 0.000, 0.000], [0.000, 0.500, 0.500], [0.500, 0.000, 0.500], [0.500, 0.500, 0.000], [0.250, 0.250, 0.750], [0.250, 0.750, 0.250], [0.750, 0.250, 0.250], [0.750, 0.750, 0.750], [0.000, 0.000, 0.500], [0.000, 0.500, 0.000], [0.500, 0.000, 0.000], [0.500, 0.500, 0.500], [0.250, 0.250, 0.250], [0.250, 0.750, 0.750], [0.750, 0.250, 0.750], [0.750, 0.750, 0.250]],
  "total_energy_ev_per_cell": -64.49,
  "m_tot_mub_per_cell": 0.02
}

***

{
  "formula": "Mg2TaNi",
  "functional": "PBE",
  "state": "relaxed",
  "lattice_angstrom": [[6.387, 0.000, 0.000], [0.000, 6.387, 0.000], [0.000, 0.000, 6.387]],
  "species": ["Mg", "Mg", "Mg", "Mg", "Mg", "Mg", "Mg", "Mg", "Ta", "Ta", "Ta", "Ta", "Ni", "Ni", "Ni", "Ni"],
  "fractional_positions": [[0.000, 0.000, 0.000], [0.000, 0.500, 0.500], [0.250, 0.250, 0.250], [0.250, 0.750, 0.750], [0.500, 0.000, 0.500], [0.500, 0.500, 0.000], [0.750, 0.250, 0.750], [0.750, 0.750, 0.250], [0.250, 0.250, 0.750], [0.250, 0.750, 0.250], [0.750, 0.250, 0.250], [0.750, 0.750, 0.750], [0.000, 0.000, 0.500], [0.000, 0.500, 0.000], [0.500, 0.000, 0.000], [0.500, 0.500, 0.500]],
  "total_energy_ev_per_cell": -78.59,
  "m_tot_mub_per_cell": 0.01
}

***

{
  "formula": "MgTaTlNi",
  "functional": "PBE",
  "state": "relaxed",
  "lattice_angstrom": [[6.506, 0.000, 0.000], [0.000, 6.506, 0.000], [0.000, 0.000, 6.506]],
  "species": ["Mg", "Mg", "Mg", "Mg", "Ta", "Ta", "Ta", "Ta", "Tl", "Tl", "Tl", "Tl", "Ni", "Ni", "Ni", "Ni"],
  "fractional_positions": [[0.000, 0.000, 0.000], [0.000, 0.500, 0.500], [0.500, 0.000, 0.500], [0.500, 0.500, 0.000], [0.250, 0.250, 0.750], [0.250, 0.750, 0.250], [0.750, 0.250, 0.250], [0.750, 0.750, 0.750], [0.250, 0.250, 0.250], [0.250, 0.750, 0.750], [0.750, 0.250, 0.750], [0.750, 0.750, 0.250], [0.000, 0.000, 0.500], [0.000, 0.500, 0.000], [0.500, 0.000, 0.000], [0.500, 0.500, 0.500]],
  "total_energy_ev_per_cell": -77.57,
  "m_tot_mub_per_cell": 0.00
}

***

{
  "formula": "MgTaTlNi",
  "functional": "PBE",
  "state": "relaxed",
  "lattice_angstrom": [[6.579, 0.000, 0.000], [0.000, 6.579, 0.000], [0.000, 0.000, 6.579]],
  "species": ["Mg", "Mg", "Mg", "Mg", "Ta", "Ta", "Ta", "Ta", "Tl", "Tl", "Tl", "Tl", "Ni", "Ni", "Ni", "Ni"],
  "fractional_positions": [[0.000, 0.000, 0.000], [0.000, 0.500, 0.500], [0.500, 0.000, 0.500], [0.500, 0.500, 0.000], [0.250, 0.250, 0.250], [0.250, 0.750, 0.750], [0.750, 0.250, 0.750], [0.750, 0.750, 0.250], [0.000, 0.000, 0.500], [0.000, 0.500, 0.000], [0.500, 0.000, 0.000], [0.500, 0.500, 0.500], [0.250, 0.250, 0.750], [0.250, 0.750, 0.250], [0.750, 0.250, 0.250], [0.750, 0.750, 0.750]],
  "total_energy_ev_per_cell": -75.72,
  "m_tot_mub_per_cell": 0.66
}

***

{
  "formula": "TbMg2Ni9",
  "functional": "PBE",
  "state": "relaxed",
  "lattice_angstrom": [[2.416, 1.395, 7.863], [-2.416, 1.395, 7.863], [0.000, -2.789, 7.863]],
  "species": ["Tb", "Mg", "Mg", "Ni", "Ni", "Ni", "Ni", "Ni", "Ni", "Ni", "Ni", "Ni"],
  "fractional_positions": [[0.000, 0.000, 0.000], [0.144, 0.144, 0.144], [0.856, 0.856, 0.856], [0.082, 0.586, 0.586], [0.334, 0.334, 0.334], [0.414, 0.414, 0.918], [0.414, 0.918, 0.414], [0.500, 0.500, 0.500], [0.586, 0.082, 0.586], [0.586, 0.586, 0.082], [0.666, 0.666, 0.666], [0.918, 0.414, 0.414]],
  "total_energy_ev_per_cell": -61.24,
  "m_tot_mub_per_cell": 2.05
}

***

{
  "formula": "Mg5Tc2Ni2",
  "functional": "PBE",
  "state": "relaxed",
  "lattice_angstrom": [[1.412, 0.815, 21.195], [-1.412, 0.815, 21.195], [0.000, -1.631, 21.195]],
  "species": ["Mg", "Mg", "Mg", "Mg", "Mg", "Tc", "Tc", "Ni", "Ni"],
  "fractional_positions": [[0.000, 0.000, 0.000], [0.112, 0.112, 0.112], [0.588, 0.588, 0.588], [0.738, 0.738, 0.738], [0.857, 0.857, 0.857], [0.630, 0.630, 0.630], [0.815, 0.815, 0.815], [0.039, 0.039, 0.039], [0.222, 0.222, 0.222]],
  "total_energy_ev_per_cell": -36.77,
  "m_tot_mub_per_cell": 0.02
}

***

{
  "formula": "MgTlTcNi",
  "functional": "PBE",
  "state": "relaxed",
  "lattice_angstrom": [[6.400, 0.000, 0.000], [0.000, 6.400, 0.000], [0.000, 0.000, 6.400]],
  "species": ["Mg", "Mg", "Mg", "Mg", "Tl", "Tl", "Tl", "Tl", "Tc", "Tc", "Tc", "Tc", "Ni", "Ni", "Ni", "Ni"],
  "fractional_positions": [[0.000, 0.000, 0.000], [0.000, 0.500, 0.500], [0.500, 0.000, 0.500], [0.500, 0.500, 0.000], [0.000, 0.000, 0.500], [0.000, 0.500, 0.000], [0.500, 0.000, 0.000], [0.500, 0.500, 0.500], [0.250, 0.250, 0.250], [0.250, 0.750, 0.750], [0.750, 0.250, 0.750], [0.750, 0.750, 0.250], [0.250, 0.250, 0.750], [0.250, 0.750, 0.250], [0.750, 0.250, 0.250], [0.750, 0.750, 0.750]],
  "total_energy_ev_per_cell": -72.84,
  "m_tot_mub_per_cell": 3.16
}

***

{
  "formula": "MgNi2Te3",
  "functional": "PBE",
  "state": "relaxed",
  "lattice_angstrom": [[1.904, -6.329, 0.000], [1.904, 6.329, 0.000], [0.000, 0.000, 10.568]],
  "species": ["Mg", "Mg", "Ni", "Ni", "Ni", "Ni", "Te", "Te", "Te", "Te", "Te", "Te"],
  "fractional_positions": [[0.248, 0.752, 0.750], [0.752, 0.248, 0.250], [0.000, 0.000, 0.000], [0.000, 0.000, 0.500], [0.401, 0.599, 0.250], [0.599, 0.401, 0.750], [0.041, 0.959, 0.250], [0.362, 0.638, 0.020], [0.362, 0.638, 0.480], [0.638, 0.362, 0.520], [0.638, 0.362, 0.980], [0.959, 0.041, 0.750]],
  "total_energy_ev_per_cell": -47.14,
  "m_tot_mub_per_cell": 0.00
}

***

{
  "formula": "MgZnNiTe3",
  "functional": "PBE",
  "state": "relaxed",
  "lattice_angstrom": [[1.940, -7.641, 0.000], [1.940, 7.641, 0.000], [0.000, 0.000, 9.468]],
  "species": ["Mg", "Mg", "Zn", "Zn", "Ni", "Ni", "Te", "Te", "Te", "Te", "Te", "Te"],
  "fractional_positions": [[0.250, 0.750, 0.750], [0.750, 0.250, 0.250], [0.000, 0.000, 0.000], [0.000, 0.000, 0.500], [0.472, 0.528, 0.250], [0.528, 0.472, 0.750], [0.082, 0.918, 0.250], [0.348, 0.652, 0.069], [0.348, 0.652, 0.431], [0.652, 0.348, 0.569], [0.652, 0.348, 0.931], [0.918, 0.082, 0.750]],
  "total_energy_ev_per_cell": -37.66,
  "m_tot_mub_per_cell": 0.01
}